[1]
Material: NdSmAg4
Method: DFT, GGA-PBE
State: relaxed Values from VASP.

Structure (Quantum ESPRESSO input):
```
&SYSTEM
  ibrav = 0, nat = 12, ntyp = 3
/
ATOMIC_SPECIES
Ag 107.87 Ag.upf
Nd 144.24 Nd.upf
Sm 150.36 Sm.upf
ATOMIC_POSITIONS angstrom
Ag 3.611 4.131 9.580
Ag 1.204 3.101 1.857
Ag 3.612 5.190 7.021
Ag 3.610 1.580 5.710
Ag 1.205 6.490 3.086
Ag 3.610 0.743 8.351
Ag 1.203 2.042 4.416
Ag 1.205 5.653 5.727
Nd 3.612 4.298 3.840
Nd 1.204 2.935 7.597
Sm 3.611 0.993 2.484
Sm 1.204 6.240 8.953
CELL_PARAMETERS angstrom
4.815 -0.001 0.001
0.002 6.704 2.431
-0.001 0.530 9.005
```

Summary:
Total magnetic moment ... 0.000 Bohr magnetons per cell
Excess energy over the best structure of this formula in the dataset ... 0.000 eV/atom
Calculated density ... 8.48 g cm⁻³
Calculated formation energy ... -25 kJ/mol of atoms
DOS(E_F) ... 5.15 states/eV/f.u.

[2]
Material: NdSm3Ag2
Method: DFT, GGA-PBE
State: relaxed Values from VASP.

Structure (Quantum ESPRESSO input):
```
&SYSTEM
  ibrav = 0, nat = 6, ntyp = 3
/
ATOMIC_SPECIES
Sm 150.36 Sm.upf
Ag 107.87 Ag.upf
Nd 144.24 Nd.upf
ATOMIC_POSITIONS angstrom
Sm 0.408 -0.621 3.637
Sm 0.972 -1.479 8.665
Sm 0.000 0.000 0.000
Ag -2.174 0.691 2.270
Ag -1.205 -0.783 10.908
Nd -1.690 -0.046 6.589
CELL_PARAMETERS angstrom
-1.323 3.383 0.726
-3.436 -1.376 0.151
1.380 -2.100 12.302
```

Summary:
Total magnetic moment ... 0.000 Bohr magnetons per cell
Calculated density ... 7.82 g cm⁻³
Calculated formation energy ... -17 kJ/mol of atoms
DOS(E_F) ... 7.07 states/eV/f.u.

[3]
Material: Nd6SmAg
Method: DFT, GGA-PBE
State: relaxed Values from VASP.

Structure (Quantum ESPRESSO input):
```
&SYSTEM
  ibrav = 0, nat = 8, ntyp = 3
/
ATOMIC_SPECIES
Ag 107.87 Ag.upf
Nd 144.24 Nd.upf
Sm 150.36 Sm.upf
ATOMIC_POSITIONS angstrom
Ag 0.000 0.000 0.000
Nd 11.903 7.328 3.036
Nd 7.314 2.008 0.543
Nd 15.354 8.379 2.495
Nd 6.157 4.748 2.738
Nd 13.060 4.587 0.841
Nd 3.862 0.956 1.084
Sm 9.608 4.668 1.789
CELL_PARAMETERS angstrom
9.621 -0.025 0.108
4.823 7.183 -0.315
4.773 2.177 3.786
```

Summary:
Total magnetic moment ... 0.000 Bohr magnetons per cell
Calculated density ... 7.01 g cm⁻³
Calculated formation energy ... 3 kJ/mol of atoms
DOS(E_F) ... 9.85 states/eV/f.u.

[4]
Material: Nd3Sm4Ag4
Method: DFT, GGA-PBE
State: relaxed Values from VASP.

Structure (Quantum ESPRESSO input):
```
&SYSTEM
  ibrav = 0, nat = 11, ntyp = 3
/
ATOMIC_SPECIES
Ag 107.87 Ag.upf
Nd 144.24 Nd.upf
Sm 150.36 Sm.upf
ATOMIC_POSITIONS angstrom
Ag -1.555 1.225 2.171
Ag -3.158 -1.567 5.731
Ag 3.107 2.876 3.654
Ag 1.405 -1.691 4.453
Nd 1.419 0.280 0.859
Nd -1.275 -2.220 2.831
Nd 3.093 0.905 7.248
Sm 0.613 1.293 4.141
Sm 5.036 1.872 1.441
Sm -0.524 -0.687 6.666
Sm 3.899 -0.107 3.966
CELL_PARAMETERS angstrom
-2.164 4.098 2.239
-2.550 -4.440 5.663
9.226 1.528 0.206
```

Summary:
Total magnetic moment ... 0.000 Bohr magnetons per cell
Calculated density ... 7.61 g cm⁻³
Calculated formation energy ... -9 kJ/mol of atoms
DOS(E_F) ... 10.35 states/eV/f.u.

[5]
Material: Nd2SmAg2
Method: DFT, GGA-PBE
State: relaxed Values from VASP.

Structure (Quantum ESPRESSO input):
```
&SYSTEM
  ibrav = 0, nat = 10, ntyp = 3
/
ATOMIC_SPECIES
Ag 107.87 Ag.upf
Sm 150.36 Sm.upf
Nd 144.24 Nd.upf
ATOMIC_POSITIONS angstrom
Ag -0.655 0.489 5.126
Ag 4.939 9.728 -0.415
Ag -0.226 5.112 1.698
Ag 4.511 5.105 3.014
Sm 2.240 0.923 3.924
Sm 2.045 9.294 0.787
Nd 2.662 5.500 0.527
Nd 5.514 7.768 1.919
Nd 1.622 4.717 4.184
Nd -1.229 2.449 2.792
CELL_PARAMETERS angstrom
-3.180 2.321 2.732
2.404 -2.347 4.792
5.060 10.244 -2.813
```

Summary:
Total magnetic moment ... 0.000 Bohr magnetons per cell
Excess energy over the best structure of this formula in the dataset ... 0.117 eV/atom
Calculated density ... 7.09 g cm⁻³
Calculated formation energy ... -7 kJ/mol of atoms
DOS(E_F) ... 6.36 states/eV/f.u.

[6]
Material: NdSm2Ag6
Method: DFT, GGA-PBE
State: relaxed Values from VASP.

Structure (Quantum ESPRESSO input):
```
&SYSTEM
  ibrav = 0, nat = 9, ntyp = 3
/
ATOMIC_SPECIES
Ag 107.87 Ag.upf
Sm 150.36 Sm.upf
Nd 144.24 Nd.upf
ATOMIC_POSITIONS angstrom
Ag -4.484 2.707 -5.429
Ag -4.273 -1.237 3.744
Ag -5.637 0.472 -1.344
Ag -7.486 -0.915 0.198
Ag -1.271 2.385 -1.883
Ag -3.120 0.998 -0.341
Sm -4.384 3.383 -2.215
Sm -4.373 -1.912 0.530
Nd -5.535 -4.152 4.616
CELL_PARAMETERS angstrom
-1.174 3.056 1.341
-2.048 2.566 -7.642
-5.535 -4.152 4.616
```

Summary:
Total magnetic moment ... 0.001 Bohr magnetons per cell
Excess energy over the best structure of this formula in the dataset ... 0.000 eV/atom
Calculated density ... 8.56 g cm⁻³
Calculated formation energy ... -25 kJ/mol of atoms
DOS(E_F) ... 6.84 states/eV/f.u.

[7]
Material: Nd2Sm6Ag
Method: DFT, GGA-PBE
State: relaxed Values from VASP.

Structure (Quantum ESPRESSO input):
```
&SYSTEM
  ibrav = 0, nat = 18, ntyp = 3
/
ATOMIC_SPECIES
Sm 150.36 Sm.upf
Ag 107.87 Ag.upf
Nd 144.24 Nd.upf
ATOMIC_POSITIONS angstrom
Sm -6.027 -2.502 2.507
Sm -1.465 -8.150 -2.349
Sm -4.338 -3.865 -3.427
Sm -8.186 -3.638 4.887
Sm -5.314 -7.923 5.965
Sm -1.272 -0.530 1.398
Sm -3.624 -9.287 0.031
Sm -3.012 -7.842 3.453
Sm -6.639 -3.946 -0.914
Sm -3.506 -5.717 -0.173
Sm -6.145 -6.071 2.712
Sm -8.379 -11.258 1.140
Ag -3.437 -0.938 3.769
Ag -1.389 -4.956 -2.499
Nd -3.540 -2.387 -0.208
Nd -8.871 -4.538 1.531
Nd -0.780 -7.250 1.007
Nd -6.111 -9.401 2.747
CELL_PARAMETERS angstrom
-4.106 -0.081 -3.763
1.328 -9.831 -1.236
-6.873 -1.876 7.537
```

Summary:
Total magnetic moment ... 0.000 Bohr magnetons per cell
Calculated density ... 7.47 g cm⁻³
Calculated formation energy ... 2 kJ/mol of atoms
DOS(E_F) ... 12.39 states/eV/f.u.

[8]
Material: Nd3SmAg
Method: DFT, GGA-PBE
State: relaxed Values from VASP.

Structure (Quantum ESPRESSO input):
```
&SYSTEM
  ibrav = 0, nat = 10, ntyp = 3
/
ATOMIC_SPECIES
Ag 107.87 Ag.upf
Nd 144.24 Nd.upf
Sm 150.36 Sm.upf
ATOMIC_POSITIONS angstrom
Ag 0.052 -0.039 3.760
Ag 1.850 3.994 3.090
Nd -1.319 -2.193 5.412
Nd 3.835 2.495 1.189
Nd -1.933 1.460 5.661
Nd 0.154 2.086 1.439
Nd 3.221 6.148 1.439
Nd 1.748 1.869 5.412
Sm -0.420 5.709 1.920
Sm 2.322 -1.754 4.930
CELL_PARAMETERS angstrom
7.297 -0.120 -0.510
-2.112 6.986 0.510
-3.284 -2.911 6.850
```

Summary:
Total magnetic moment ... 0.000 Bohr magnetons per cell
Calculated density ... 6.68 g cm⁻³
Calculated formation energy ... 6 kJ/mol of atoms
DOS(E_F) ... 6.64 states/eV/f.u.

[9]
Material: Nd2SmAg
Method: DFT, GGA-PBE
State: relaxed Values from VASP.

Structure (Quantum ESPRESSO input):
```
&SYSTEM
  ibrav = 0, nat = 4, ntyp = 3
/
ATOMIC_SPECIES
Nd 144.24 Nd.upf
Sm 150.36 Sm.upf
Ag 107.87 Ag.upf
ATOMIC_POSITIONS angstrom
Nd 2.763 1.595 1.128
Nd 8.289 4.786 3.384
Sm 0.000 0.000 0.000
Ag 5.526 3.190 2.256
CELL_PARAMETERS angstrom
5.526 0.000 0.000
2.763 4.786 0.000
2.763 1.595 4.512
```

Summary:
Total magnetic moment ... 0.000 Bohr magnetons per cell
Excess energy over the best structure of this formula in the dataset ... 0.187 eV/atom
Calculated density ... 7.61 g cm⁻³
Calculated formation energy ... 8 kJ/mol of atoms
DOS(E_F) ... 6.05 states/eV/f.u.

[10]
Material: NdSm2Ag4
Method: DFT, GGA-PBE
State: relaxed Values from VASP.

Structure (Quantum ESPRESSO input):
```
&SYSTEM
  ibrav = 0, nat = 7, ntyp = 3
/
ATOMIC_SPECIES
Nd 144.24 Nd.upf
Ag 107.87 Ag.upf
Sm 150.36 Sm.upf
ATOMIC_POSITIONS angstrom
Nd 0.000 0.000 0.000
Ag 3.042 0.498 0.583
Ag 3.995 1.553 3.572
Ag 0.186 3.077 0.583
Ag 1.139 4.132 3.572
Sm 3.156 3.495 0.940
Sm 1.025 1.135 3.215
CELL_PARAMETERS angstrom
5.186 0.000 -1.653
-0.527 5.159 -1.653
-0.478 -0.529 7.461
```

Summary:
Total magnetic moment ... 0.000 Bohr magnetons per cell
Calculated density ... 7.64 g cm⁻³
Calculated formation energy ... -9 kJ/mol of atoms
DOS(E_F) ... 5.99 states/eV/f.u.

[11]
Material: NdSm2Ag
Method: DFT, GGA-PBE
State: relaxed Values from VASP.

Structure (Quantum ESPRESSO input):
```
&SYSTEM
  ibrav = 0, nat = 8, ntyp = 3
/
ATOMIC_SPECIES
Ag 107.87 Ag.upf
Sm 150.36 Sm.upf
Nd 144.24 Nd.upf
ATOMIC_POSITIONS angstrom
Ag 2.008 2.968 2.532
Ag 0.134 3.290 7.597
Sm 0.077 1.689 0.465
Sm 2.065 4.568 9.665
Sm 0.077 1.689 4.600
Sm 2.065 4.568 5.530
Nd 1.904 0.608 7.597
Nd 0.238 5.649 2.532
CELL_PARAMETERS angstrom
3.752 -0.157 0.000
-1.610 6.414 0.000
0.000 0.000 10.130
```

Summary:
Total magnetic moment ... 0.000 Bohr magnetons per cell
Excess energy over the best structure of this formula in the dataset ... 0.000 eV/atom
Calculated density ... 7.61 g cm⁻³
Calculated formation energy ... -11 kJ/mol of atoms
DOS(E_F) ... 4.89 states/eV/f.u.

[12]
Material: NdSm2Ag
Method: DFT, GGA-PBE
State: relaxed Values from VASP.

Structure (Quantum ESPRESSO input):
```
&SYSTEM
  ibrav = 0, nat = 4, ntyp = 3
/
ATOMIC_SPECIES
Sm 150.36 Sm.upf
Ag 107.87 Ag.upf
Nd 144.24 Nd.upf
ATOMIC_POSITIONS angstrom
Sm -1.380 2.440 0.211
Sm -2.448 -1.383 -0.023
Ag -0.055 0.128 -1.839
Nd -3.883 1.185 -1.652
CELL_PARAMETERS angstrom
-0.109 0.256 -3.678
-4.895 -2.765 -0.046
-2.761 4.880 0.421
```

Summary:
Total magnetic moment ... 0.001 Bohr magnetons per cell
Excess energy over the best structure of this formula in the dataset ... 0.121 eV/atom
Calculated density ... 7.87 g cm⁻³
Calculated formation energy ... 1 kJ/mol of atoms
DOS(E_F) ... 5.30 states/eV/f.u.

[13]
Material: Nd4SmAg4
Method: DFT, GGA-PBE
State: relaxed Values from VASP.

Structure (Quantum ESPRESSO input):
```
&SYSTEM
  ibrav = 0, nat = 18, ntyp = 3
/
ATOMIC_SPECIES
Ag 107.87 Ag.upf
Nd 144.24 Nd.upf
Sm 150.36 Sm.upf
ATOMIC_POSITIONS angstrom
Ag -7.152 1.188 4.836
Ag -2.550 6.071 8.046
Ag -5.670 3.460 5.936
Ag -0.940 2.522 0.966
Ag -5.455 8.399 1.606
Ag -3.237 6.878 5.317
Ag -3.084 2.023 2.897
Ag -4.107 5.818 1.304
Nd -0.743 5.263 2.138
Nd -3.810 2.951 -0.041
Nd -2.533 8.269 2.544
Nd -5.545 6.281 7.400
Nd -2.327 3.285 6.993
Nd -6.500 2.279 2.132
Nd -6.528 7.353 4.191
Nd -4.208 0.678 5.551
Sm 0.000 0.000 0.000
Sm -4.024 4.545 3.863
CELL_PARAMETERS angstrom
-6.286 0.685 -1.772
-2.511 -0.582 8.680
0.748 8.987 0.819
```

Summary:
Total magnetic moment ... 0.000 Bohr magnetons per cell
Calculated density ... 7.15 g cm⁻³
Calculated formation energy ... -2 kJ/mol of atoms
DOS(E_F) ... 10.38 states/eV/f.u.

[14]
Material: NdSm2Ag5
Method: DFT, GGA-PBE
State: relaxed Values from VASP.

Structure (Quantum ESPRESSO input):
```
&SYSTEM
  ibrav = 0, nat = 8, ntyp = 3
/
ATOMIC_SPECIES
Ag 107.87 Ag.upf
Sm 150.36 Sm.upf
Nd 144.24 Nd.upf
ATOMIC_POSITIONS angstrom
Ag 2.578 0.000 1.740
Ag 2.578 2.578 0.000
Ag 0.000 2.578 1.740
Ag 0.000 2.578 5.505
Ag 2.578 0.000 5.505
Sm 2.578 2.578 3.355
Sm 0.000 0.000 3.890
Nd 0.000 0.000 0.000
CELL_PARAMETERS angstrom
5.156 0.000 0.000
0.000 5.156 0.000
-2.578 -2.578 7.246
```

Summary:
Total magnetic moment ... 0.000 Bohr magnetons per cell
Calculated density ... 8.49 g cm⁻³
Calculated formation energy ... -20 kJ/mol of atoms
DOS(E_F) ... 5.62 states/eV/f.u.

[15]
Material: NdSm2Ag
Method: DFT, GGA-PBE
State: relaxed Values from VASP.

Structure (Quantum ESPRESSO input):
```
&SYSTEM
  ibrav = 0, nat = 4, ntyp = 3
/
ATOMIC_SPECIES
Sm 150.36 Sm.upf
Nd 144.24 Nd.upf
Ag 107.87 Ag.upf
ATOMIC_POSITIONS angstrom
Sm 0.000 0.000 1.863
Sm 0.000 0.000 6.974
Nd 1.849 1.849 4.419
Ag 1.849 1.849 0.000
CELL_PARAMETERS angstrom
3.697 0.000 0.000
0.000 3.697 0.000
0.000 0.000 8.837
```

Summary:
Total magnetic moment ... 0.000 Bohr magnetons per cell
Excess energy over the best structure of this formula in the dataset ... 0.001 eV/atom
Calculated density ... 7.60 g cm⁻³
Calculated formation energy ... -11 kJ/mol of atoms
DOS(E_F) ... 6.11 states/eV/f.u.

[16]
Material: NdSm2Ag
Method: DFT, GGA-PBE
State: relaxed Values from VASP.

Structure (Quantum ESPRESSO input):
```
&SYSTEM
  ibrav = 0, nat = 4, ntyp = 3
/
ATOMIC_SPECIES
Nd 144.24 Nd.upf
Sm 150.36 Sm.upf
Ag 107.87 Ag.upf
ATOMIC_POSITIONS angstrom
Nd 3.111 -1.185 5.943
Sm 4.943 -1.809 9.037
Sm 1.280 -0.561 2.848
Ag 0.000 0.000 0.000
CELL_PARAMETERS angstrom
-1.256 1.321 3.156
-1.376 -2.263 2.504
8.854 -1.429 6.226
```

Summary:
Total magnetic moment ... 0.000 Bohr magnetons per cell
Excess energy over the best structure of this formula in the dataset ... 0.106 eV/atom
Calculated density ... 7.45 g cm⁻³
Calculated formation energy ... -1 kJ/mol of atoms
DOS(E_F) ... 4.70 states/eV/f.u.

[17]
Material: NdSmAg4
Method: DFT, GGA-PBE
State: relaxed Values from VASP.

Structure (Quantum ESPRESSO input):
```
&SYSTEM
  ibrav = 0, nat = 6, ntyp = 3
/
ATOMIC_SPECIES
Ag 107.87 Ag.upf
Nd 144.24 Nd.upf
Sm 150.36 Sm.upf
ATOMIC_POSITIONS angstrom
Ag 1.985 3.959 2.469
Ag 1.984 3.958 7.336
Ag 0.003 1.975 2.471
Ag 0.003 1.974 7.332
Nd 1.985 1.972 9.821
Sm 0.002 3.959 4.902
CELL_PARAMETERS angstrom
3.965 -0.002 0.001
-0.002 3.971 0.001
-0.001 -0.001 9.838
```

Summary:
Total magnetic moment ... 0.000 Bohr magnetons per cell
Excess energy over the best structure of this formula in the dataset ... 0.272 eV/atom
Calculated density ... 7.78 g cm⁻³
Calculated formation energy ... 1 kJ/mol of atoms
DOS(E_F) ... 3.95 states/eV/f.u.

[18]
Material: Nd2Sm3Ag2
Method: DFT, GGA-PBE
State: relaxed Values from VASP.

Structure (Quantum ESPRESSO input):
```
&SYSTEM
  ibrav = 0, nat = 7, ntyp = 3
/
ATOMIC_SPECIES
Nd 144.24 Nd.upf
Sm 150.36 Sm.upf
Ag 107.87 Ag.upf
ATOMIC_POSITIONS angstrom
Nd 1.908 3.969 1.316
Nd 0.000 -0.974 6.946
Sm 1.908 0.000 0.000
Sm 1.908 -0.131 3.795
Sm 0.000 3.126 4.466
Ag 1.908 1.580 6.420
Ag 0.000 1.415 1.842
CELL_PARAMETERS angstrom
3.816 0.000 0.000
-1.908 6.581 -0.442
0.000 -3.586 8.703
```

Summary:
Total magnetic moment ... 0.000 Bohr magnetons per cell
Excess energy over the best structure of this formula in the dataset ... 0.000 eV/atom
Calculated density ... 7.46 g cm⁻³
Calculated formation energy ... -12 kJ/mol of atoms
DOS(E_F) ... 7.70 states/eV/f.u.

[19]
Material: NdSm3Ag3
Method: DFT, GGA-PBE
State: relaxed Values from VASP.

Structure (Quantum ESPRESSO input):
```
&SYSTEM
  ibrav = 0, nat = 14, ntyp = 3
/
ATOMIC_SPECIES
Sm 150.36 Sm.upf
Ag 107.87 Ag.upf
Nd 144.24 Nd.upf
ATOMIC_POSITIONS angstrom
Sm -5.473 5.158 1.921
Sm -7.476 0.169 -2.081
Sm -4.300 1.419 -3.632
Sm -2.867 4.988 -0.770
Sm -5.007 1.682 0.410
Sm -7.942 3.646 -0.570
Ag -6.329 6.343 -0.687
Ag -4.942 -0.555 3.167
Ag -5.173 2.588 3.417
Ag -7.775 2.740 -3.577
Ag -6.620 -1.016 0.527
Ag -8.007 5.883 -3.327
Nd -7.624 0.575 3.100
Nd -5.324 4.753 -3.260
CELL_PARAMETERS angstrom
-2.009 7.125 0.944
-5.158 -0.718 -5.346
-5.782 -1.080 4.241
```

Summary:
Total magnetic moment ... 0.000 Bohr magnetons per cell
Calculated density ... 7.72 g cm⁻³
Calculated formation energy ... -12 kJ/mol of atoms
DOS(E_F) ... 7.25 states/eV/f.u.

[20]
Material: Nd6Sm2Ag
Method: DFT, GGA-PBE
State: relaxed Values from VASP.

Structure (Quantum ESPRESSO input):
```
&SYSTEM
  ibrav = 0, nat = 9, ntyp = 3
/
ATOMIC_SPECIES
Nd 144.24 Nd.upf
Sm 150.36 Sm.upf
Ag 107.87 Ag.upf
ATOMIC_POSITIONS angstrom
Nd 1.786 6.890 0.107
Nd -0.411 -3.170 5.922
Nd 3.371 1.655 3.096
Nd 1.786 2.760 0.107
Nd 3.371 7.995 3.096
Nd -0.411 3.170 5.922
Sm 1.542 4.825 3.203
Sm 1.418 0.000 5.816
Ag 0.000 0.000 0.000
CELL_PARAMETERS angstrom
3.573 0.000 0.213
0.000 9.651 0.000
-0.613 -4.825 8.806
```

Summary:
Total magnetic moment ... 0.000 Bohr magnetons per cell
Calculated density ... 6.94 g cm⁻³
Calculated formation energy ... 10 kJ/mol of atoms
DOS(E_F) ... 13.96 states/eV/f.u.